TlCrO3: relaxed, GGA+U.

Cell and atoms, written as POSCAR:
```
TlCrO3
1.0
3.850 0.000 0.000
0.000 3.850 0.000
0.000 0.000 3.850
Cr Tl O
1 1 3
direct
0.000 0.000 0.000
0.500 0.500 0.500
0.000 0.500 0.000
0.000 0.000 0.500
0.500 0.000 0.000
```

Values from the calculation:
**Fermi-level density of states**: 3.10 states/eV/f.u.
**Total moment**: 2.41 μB/f.u.
**Electronic total energy**: -5.970 eV per atom